An optimized crystal structure of LaMnGa. Source: Alexandria, functional PBE.

Properties
E_tot in eV per cell: -71.490
Total moment in μB per cell: 12.18
DOS at the Fermi energy in states/eV per atom: 0.970

abc: 7.7180 4.5890 7.3672
angles: 90.00 90.00 90.00
With the nearest neighbours (Å) after each atom.
Space group Pnma (No. 62)
Unique sites:
La: 0.0055 0.2500 0.1793 (multiplicity 4)  4 Mn 3.05-3.30, 5 Ga 3.19-3.29
Mn: 0.1374 0.7500 0.4342 (multiplicity 4)  4 Ga 2.60-2.72
Ga: 0.1964 0.2500 0.6080 (multiplicity 4)  4 Mn 2.60-2.72